Density functional theory data (GGA-PBE) for Tb4In2AgHg after structural relaxation.

Its formation energy is -0.431 eV per atom. The total energy comes out at -0.14056 Ha/atom.

The structure belongs to space group R-3m (No. 166, hexagonal axes); the cell edges are 5.2938, 5.2938 and 25.9693 Å and the angles 90.00°, 90.00° and 120.00°. Symmetry generates all atoms from Tb at (0.0000, 0.0000, 0.1241), Tb at (0.0000, 0.0000, 0.3742), In at (0.0000, 0.0000, 0.2508), Ag at (0.0000, 0.0000, 0.0000) and Hg at (0.0000, 0.0000, 0.5000).



Density functional theory data (GGA-PBE) for CdSiW2 after structural relaxation.

The total energy comes out at -0.28304 Ha/atom.

The structure belongs to space group P4mm (No. 99); the cell edges are 3.1767, 3.1767 and 6.8096 Å and the angles 90.00°, 90.00° and 90.00°. Symmetry generates all atoms from Cd at (0.0000, 0.0000, 0.0000), Si at (0.5000, 0.5000, 0.2972), W at (0.0000, 0.0000, 0.4841) and W at (0.5000, 0.5000, 0.7048).



Density functional theory data (GGA-PBE) for NbSe2O after structural relaxation.

The total energy comes out at -0.20010 Ha/atom.

The structure belongs to space group I-42d (No. 122); the cell edges are 5.5984, 5.5984 and 10.9174 Å and the angles 90.00°, 90.00° and 90.00°. Symmetry generates all atoms from Nb at (0.0000, 0.0000, 0.0000), Se at (0.2272, 0.2500, 0.6250) and O at (0.0000, 0.0000, 0.5000).



Density functional theory data (GGA-PBE) for RbPu3F10 after structural relaxation.

The total energy comes out at -0.29339 Ha/atom.

The structure belongs to space group Fm-3m (No. 225); the cell edges are 12.2087, 12.2087 and 12.2087 Å and the angles 90.00°, 90.00° and 90.00°. Symmetry generates all atoms from Rb at (0.2500, 0.2500, 0.2500), Pu at (0.0000, 0.0000, 0.2399), F at (0.0000, 0.1650, 0.3350) and F at (0.1122, 0.1122, 0.1122).



Density functional theory data (GGA-PBE) for LaPmIrCl after structural relaxation.

The total energy comes out at -0.23274 Ha/atom.

The structure belongs to space group R3m (No. 160, hexagonal axes); the cell edges are 4.1302, 4.1302 and 23.2277 Å and the angles 90.00°, 90.00° and 120.00°. Symmetry generates all atoms from La at (0.0000, 0.0000, 0.0000), Pm at (0.0000, 0.0000, 0.2007), Ir at (0.0000, 0.0000, 0.6004) and Cl at (0.0000, 0.0000, 0.7734).



Density functional theory data (GGA-PBE) for Ca5AcN4 after structural relaxation.

The total energy comes out at -0.20234 Ha/atom.

The structure belongs to space group C2/m (No. 12); the cell edges are 15.8659, 3.6897 and 7.5202 Å and the angles 90.00°, 102.33° and 90.00°. Symmetry generates all atoms from Ca at (0.0000, 0.0000, 0.0000), Ca at (0.1559, 0.5000, 0.7946), Ca at (0.1711, 0.5000, 0.3739), Ac at (0.0000, 0.0000, 0.5000), N at (0.0006, 0.5000, 0.2396) and N at (0.1730, 0.0000, 0.5983).



Density functional theory data (GGA-PBE) for Pr3NpTl3S8 after structural relaxation.

The total energy comes out at -0.21678 Ha/atom.

The structure belongs to space group R-3m (No. 166, hexagonal axes); the cell edges are 8.3464, 8.3464 and 22.6047 Å and the angles 90.00°, 90.00° and 120.00°. Symmetry generates all atoms from Pr at (0.0000, 0.5000, 0.0000), Np at (0.0000, 0.0000, 0.0000), Tl at (0.0000, 0.5000, 0.5000), S at (0.0000, 0.0000, 0.2649) and S at (0.0178, 0.5089, 0.7319).



Density functional theory data (GGA-PBE) for LaMnRh2 after structural relaxation.

Its formation energy is -0.357 eV per atom. The total energy comes out at -0.27771 Ha/atom.

The structure belongs to space group R-3m (No. 166, hexagonal axes); the cell edges are 4.2899, 4.2899 and 14.9926 Å and the angles 90.00°, 90.00° and 120.00°. Symmetry generates all atoms from La at (0.0000, 0.0000, 0.0000), Mn at (0.0000, 0.0000, 0.5000) and Rh at (0.0000, 0.0000, 0.2107).



Density functional theory data (GGA-PBE) for LaY5Ho2Sc after structural relaxation.

Its formation energy is 0.169 eV per atom. The total energy comes out at -0.20913 Ha/atom.

The structure belongs to space group Cmc2_1 (No. 36); the cell edges are 5.5826, 20.6972 and 10.0341 Å and the angles 90.00°, 90.00° and 90.00°. Symmetry generates all atoms from La at (0.0000, 0.1076, 0.0000), Y at (0.0000, 0.0180, 0.3111), Y at (0.0000, 0.1281, 0.6002), Y at (0.0000, 0.1953, 0.2911), Y at (0.0000, 0.2526, 0.9557), Y at (0.0000, 0.4805, 0.5878), Ho at (0.0000, 0.3770, 0.2960), Ho at (0.0000, 0.3973, 0.8898) and Sc at (0.0000, 0.3090, 0.6074).



Density functional theory data (GGA-PBE) for AcErCoRu after structural relaxation.

Its formation energy is -0.003 eV per atom. The total energy comes out at -0.23030 Ha/atom.

The structure belongs to space group F-43m (No. 216); the cell edges are 7.0203, 7.0203 and 7.0203 Å and the angles 90.00°, 90.00° and 90.00°. Symmetry generates all atoms from Ac at (0.0000, 0.0000, 0.0000), Er at (0.0000, 0.0000, 0.5000), Co at (0.2500, 0.2500, 0.7500) and Ru at (0.2500, 0.2500, 0.2500).



Density functional theory data (GGA-PBE) for TbGe12Rh4 after structural relaxation.

Its formation energy is -0.262 eV per atom. The total energy comes out at -0.20299 Ha/atom.

The structure belongs to space group Im-3 (No. 204); the cell edges are 8.6377, 8.6377 and 8.6377 Å and the angles 90.00°, 90.00° and 90.00°. Symmetry generates all atoms from Tb at (0.0000, 0.0000, 0.0000), Ge at (0.0000, 0.3484, 0.1528) and Rh at (0.2500, 0.2500, 0.2500).



Density functional theory data (GGA-PBE) for Ba2NaMg12Cd3 after structural relaxation.

Its formation energy is 0.073 eV per atom. The total energy comes out at -0.05252 Ha/atom.

The structure belongs to space group R-3m (No. 166, hexagonal axes); the cell edges are 10.9614, 10.9614 and 14.7224 Å and the angles 90.00°, 90.00° and 120.00°. Symmetry generates all atoms from Ba at (0.0000, 0.0000, 0.2440), Na at (0.0000, 0.0000, 0.5000), Mg at (0.0098, 0.5049, 0.2018), Mg at (0.0541, 0.5270, 0.6008) and Cd at (0.0000, 0.5000, 0.0000).



Density functional theory data (GGA-PBE) for Mn2MoCl after structural relaxation.

The total energy comes out at -0.27952 Ha/atom.

The structure belongs to space group Pmm2 (No. 25); the cell edges are 2.9339, 3.0168 and 7.1551 Å and the angles 90.00°, 90.00° and 90.00°. Symmetry generates all atoms from Mn at (0.0000, 0.0000, 0.0000), Mn at (0.5000, 0.5000, 0.2211), Mo at (0.0000, 0.0000, 0.4051) and Cl at (0.5000, 0.0000, 0.6993).



Density functional theory data (GGA-PBE) for Li2Mg3Zr after structural relaxation.

Its formation energy is -0.013 eV per atom. The total energy comes out at -0.10557 Ha/atom.

The structure belongs to space group P4/mmm (No. 123); the cell edges are 3.2526, 3.2526 and 11.8027 Å and the angles 90.00°, 90.00° and 90.00°. Symmetry generates all atoms from Li at (0.0000, 0.0000, 0.1629), Mg at (0.5000, 0.5000, 0.0000), Mg at (0.5000, 0.5000, 0.3189) and Zr at (0.0000, 0.0000, 0.5000).



Density functional theory data (GGA-PBE) for Tb4Th2Sc after structural relaxation.

Its formation energy is 0.221 eV per atom. The total energy comes out at -0.20025 Ha/atom.

The structure belongs to space group C2/m (No. 12); the cell edges are 12.0293, 6.9726 and 11.0581 Å and the angles 90.00°, 99.03° and 90.00°. Symmetry generates all atoms from Tb at (0.0470, 0.2497, 0.2567), Tb at (0.2106, 0.0000, 0.7935), Tb at (0.2119, 0.5000, 0.7889), Th at (0.0000, 0.5000, 0.0000), Th at (0.0000, 0.5000, 0.5000), Th at (0.2500, 0.2500, 0.5000), Sc at (0.0000, 0.0000, 0.0000) and Sc at (0.0000, 0.0000, 0.5000).



Density functional theory data (GGA-PBE) for Pr2CdSi4Pt3 after structural relaxation.

The total energy comes out at -0.21888 Ha/atom.

The structure belongs to space group P-4m2 (No. 115); the cell edges are 4.3004, 4.3004 and 10.1846 Å and the angles 90.00°, 90.00° and 90.00°. Symmetry generates all atoms from Pr at (0.0000, 0.5000, 0.2413), Cd at (0.0000, 0.0000, 0.5000), Si at (0.0000, 0.0000, 0.0000), Si at (0.0000, 0.5000, 0.6479), Si at (0.5000, 0.5000, 0.0000), Pt at (0.0000, 0.5000, 0.8857) and Pt at (0.5000, 0.5000, 0.5000).



Density functional theory data (GGA-PBE) for NbCuRe2H after structural relaxation.

The total energy comes out at -0.21323 Ha/atom.

The structure belongs to space group P4/mmm (No. 123); the cell edges are 4.8013, 4.8013 and 4.9544 Å and the angles 90.00°, 90.00° and 90.00°. Symmetry generates all atoms from Nb at (0.0000, 0.0000, 0.0000), Cu at (0.0000, 0.0000, 0.5000), Re at (0.0000, 0.5000, 0.0000) and H at (0.5000, 0.5000, 0.5000).



Density functional theory data (GGA-PBE) for LaSmDy2Tm after structural relaxation.

Its formation energy is 0.367 eV per atom. The total energy comes out at -0.15791 Ha/atom.

The structure belongs to space group Cmcm (No. 63); the cell edges are 8.4465, 11.5325 and 7.2244 Å and the angles 90.00°, 90.00° and 90.00°. Symmetry generates all atoms from La at (0.0000, 0.2336, 0.2500), Sm at (0.0000, 0.4988, 0.2500), Dy at (0.1882, 0.0000, 0.0000) and Tm at (0.0000, 0.2183, 0.7500).



Density functional theory data (GGA-PBE) for CdMo2Au after structural relaxation.

Its formation energy is 0.320 eV per atom. The total energy comes out at -0.22579 Ha/atom.

The structure belongs to space group P4/mmm (No. 123); the cell edges are 3.8705, 3.8705 and 4.5708 Å and the angles 90.00°, 90.00° and 90.00°. Symmetry generates all atoms from Cd at (0.0000, 0.0000, 0.0000), Mo at (0.0000, 0.5000, 0.5000) and Au at (0.5000, 0.5000, 0.0000).



Density functional theory data (GGA-PBE) for Cd4SbAsBr2 after structural relaxation.

The total energy comes out at -0.08181 Ha/atom.

The structure belongs to space group Imma (No. 74); the cell edges are 8.0611, 8.2416 and 13.7287 Å and the angles 90.00°, 90.00° and 90.00°. Symmetry generates all atoms from Cd at (0.0000, 0.0019, 0.2014), Cd at (0.2318, 0.2500, 0.0341), Sb at (0.2500, 0.2500, 0.2500), As at (0.0000, 0.0000, 0.0000), Br at (0.0000, 0.0000, 0.5000) and Br at (0.2500, 0.2500, 0.7500).